1.
## Nb12Al3Ru (PBE)

Data for a relaxed Nb12Al3Ru crystal.

Calculated values
- DFT formation energy (kJ/mol of atoms) = -22.05
- space group = Pmmm (47)
- DOS(E_F) (states/eV per atom) = 0.9807
- uncorrected energy (eV/cell) = -145.00

abc: 5.202 5.203 10.371
angles: 90.00 90.00 90.00
Fractional coordinates of all 16 atoms:
1 Nb 0.000 0.000 0.121
2 Nb 0.000 0.000 0.372
3 Nb 0.000 0.000 0.628
4 Nb 0.000 0.000 0.879
5 Nb 0.248 0.500 0.247
6 Nb 0.248 0.500 0.753
7 Nb 0.500 0.248 0.500
8 Nb 0.500 0.253 0.000
9 Nb 0.500 0.747 0.000
10 Nb 0.500 0.752 0.500
11 Nb 0.752 0.500 0.247
12 Nb 0.752 0.500 0.753
13 Al 0.000 0.500 0.500
14 Al 0.500 0.000 0.252
15 Al 0.500 0.000 0.748
16 Ru 0.000 0.500 0.000


2.
## NbAlRu5 (PBE)

Data for a relaxed NbAlRu5 crystal.

Calculated values
- DFT formation energy (kJ/mol of atoms) = 4.04
- space group = P4/mmm (123)
- DOS(E_F) (states/eV per atom) = 1.1454
- uncorrected energy (eV/cell) = -59.90

abc: 4.184 4.184 6.148
angles: 90.00 90.00 90.00
Fractional coordinates of all 7 atoms:
1 Nb 0.000 0.000 0.000
2 Al 0.500 0.500 0.500
3 Ru 0.000 0.500 0.273
4 Ru 0.000 0.500 0.727
5 Ru 0.500 0.000 0.273
6 Ru 0.500 0.000 0.727
7 Ru 0.500 0.500 0.000


- What is the DOS(E_F) in the second record?
  1.1454 states/eV per atom